(1)
Entry from the Alexandria database: CsSrB3 at its PBEsol-relaxed geometry (SCAN).

Output
As for the space group: Pm-3m. Its formation energy from the elements is 2.294 eV per atom. The total magnetic moment comes out at 4.55 μB per formula unit. As for the volume: 153.4 Å³/f.u.

Lattice parameters (Å, degrees): 5.353 5.353 5.353 90.00 90.00 90.00
Atoms (fractional coordinates):
1 Cs 0.000 0.000 0.000
2 Sr 0.500 0.500 0.500
3 B 0.000 0.500 0.500
4 B 0.500 0.000 0.500
5 B 0.500 0.500 0.000

---

(2)
Entry from the Alexandria database: CrCd3As at its PBEsol-relaxed geometry (SCAN).

Output
As for the space group: Pm-3m. Its formation energy from the elements is 0.852 eV per atom. The total magnetic moment comes out at 3.58 μB per formula unit. As for the volume: 129.7 Å³/f.u.

Lattice parameters (Å, degrees): 5.063 5.063 5.063 90.00 90.00 90.00
Atoms (fractional coordinates):
1 Cr 0.000 0.000 0.000
2 Cd 0.000 0.000 0.500
3 Cd 0.000 0.500 0.000
4 Cd 0.500 0.000 0.000
5 As 0.500 0.500 0.500